Computed, not measured: a relaxed Rb12PaO7 crystal at the PBE level of DFT.

Calculated values
The formation energy without anion corrections comes out at -1.403 eV/atom.

Unit cell a=10.172 b=10.172 c=10.172 alpha=109.42 beta=109.42 gamma=109.42
Fractional coordinates of all 20 atoms:
1 Rb 0.070 0.750 0.194
2 Rb 0.182 0.365 0.421
3 Rb 0.194 0.070 0.750
4 Rb 0.250 0.806 0.930
5 Rb 0.365 0.421 0.182
6 Rb 0.421 0.182 0.365
7 Rb 0.579 0.818 0.635
8 Rb 0.635 0.579 0.818
9 Rb 0.750 0.194 0.070
10 Rb 0.806 0.930 0.250
11 Rb 0.818 0.635 0.579
12 Rb 0.930 0.250 0.806
13 Pa 0.000 0.000 0.000
14 O 0.035 0.248 0.085
15 O 0.085 0.035 0.248
16 O 0.248 0.085 0.035
17 O 0.500 0.500 0.500
18 O 0.752 0.915 0.965
19 O 0.915 0.965 0.752
20 O 0.965 0.752 0.915



Computed, not measured: a relaxed CeTaTiN3 crystal at the PBE level of DFT.

Calculated values
The formation energy without anion corrections comes out at -1.473 eV/atom.

Unit cell a=5.548 b=3.164 c=8.386 alpha=90.00 beta=103.28 gamma=90.00
Fractional coordinates of all 12 atoms:
1 Ce 0.147 0.250 0.191
2 Ce 0.853 0.750 0.809
3 Ta 0.266 0.750 0.550
4 Ta 0.734 0.250 0.450
5 Ti 0.375 0.250 0.863
6 Ti 0.625 0.750 0.137
7 N 0.062 0.250 0.652
8 N 0.262 0.750 0.990
9 N 0.464 0.750 0.352
10 N 0.536 0.250 0.648
11 N 0.738 0.250 0.010
12 N 0.938 0.750 0.348



Computed, not measured: a relaxed YMgPb2 crystal at the PBE level of DFT.

Calculated values
The calculated formation energy comes out at -92.9 meV/atom.

Unit cell a=3.583 b=3.583 c=8.988 alpha=90.00 beta=90.00 gamma=90.00
Fractional coordinates of all 4 atoms:
1 Y 0.000 0.000 0.000
2 Mg 0.500 0.500 0.246
3 Pb 0.000 0.000 0.470
4 Pb 0.500 0.500 0.753



Computed, not measured: a relaxed ZrPNO2 crystal at the PBE level of DFT.

Calculated values
The formation energy without anion corrections comes out at -0.437 eV/atom.

Unit cell a=4.053 b=4.053 c=4.434 alpha=90.00 beta=90.00 gamma=90.00
Fractional coordinates of all 5 atoms:
1 Zr 0.000 0.000 0.000
2 P 0.500 0.500 0.500
3 N 0.000 0.000 0.500
4 O 0.000 0.500 0.000
5 O 0.500 0.000 0.000



Total energy (computed, eV per atom): -4.19, -9.92, -3.96, -6.88